[1]
PBE-GGA HfBrN2O, optimized geometry; formation energy (no corrections) = 0.176 eV/atom
1.0
4.5015 0.0000 0.0000
0.0000 4.5015 0.0000
0.0000 0.0000 3.9767
Br Hf N O
1 1 2 1
Direct
0.5000 0.5000 0.5000
0.0000 0.0000 0.0000
0.5000 0.0000 0.0000
0.0000 0.5000 0.0000
0.0000 0.0000 0.5000

***

[2]
PBE-GGA Cs2TeMoBr6, optimized geometry; formation energy (no corrections) = -0.819 eV/atom
1.0
-0.2611 -1.1308 8.5715
-3.3761 -7.8812 -1.1426
3.1220 -6.6041 3.5882
Mo Br Cs Te
1 6 2 1
Direct
0.5000 0.5000 0.0000
0.2874 0.7126 0.0000
0.7126 0.7126 0.0000
0.2553 0.2553 0.4894
0.2874 0.2874 0.0000
0.7447 0.7447 0.5106
0.7126 0.2874 0.0000
0.2500 0.7500 0.5000
0.7500 0.2500 0.5000
0.0000 0.0000 0.0000

***

[3]
PBE-GGA La3TmSb2, optimized geometry; formation energy (no corrections) = -0.864 eV/atom
1.0
-3.4559 -1.6922 -2.3763
2.8637 -0.5600 -3.7646
2.3676 -7.0059 5.8492
La Tm Sb
3 1 2
Direct
0.8228 0.3230 0.6455
0.1772 0.6770 0.3545
0.5000 0.5000 0.0000
0.0000 0.0000 0.0000
0.3661 0.8664 0.7321
0.6339 0.1336 0.2679

***

[4]
PBE-GGA PaCrB4, optimized geometry; ΔH_f (0 K) = -0.660 eV/atom
1.0
3.5521 0.0000 0.0000
0.0000 5.9161 0.0000
0.0000 0.0000 11.4437
B Cr Pa
16 4 4
Direct
0.5000 0.9735 0.3093
0.5000 0.3877 0.0457
0.5000 0.7828 0.1851
0.5000 0.0265 0.6907
0.5000 0.6378 0.5327
0.5000 0.6123 0.9543
0.5000 0.7172 0.6851
0.5000 0.3622 0.4673
0.5000 0.8622 0.0327
0.5000 0.8877 0.4543
0.5000 0.5265 0.8093
0.5000 0.1378 0.9673
0.5000 0.4735 0.1907
0.5000 0.1123 0.5457
0.5000 0.2172 0.8149
0.5000 0.2828 0.3149
0.0000 0.6298 0.0870
0.0000 0.8702 0.5870
0.0000 0.1298 0.4130
0.0000 0.3702 0.9130
0.0000 0.3749 0.6507
0.0000 0.8749 0.8493
0.0000 0.1251 0.1507
0.0000 0.6251 0.3493

***

[5]
PBE-GGA ScTl2Ni, optimized geometry; ΔH_f (0 K) = 0.030 eV/atom
1.0
-2.8637 -0.5073 -4.7775
3.4502 -0.2056 -4.3974
-1.4375 -2.5917 4.7434
Tl Sc Ni
2 1 1
Direct
0.9719 0.9719 0.0000
0.5281 0.5281 0.0000
0.2500 0.7500 0.5000
0.7500 0.2500 0.5000

***

[6]
PBE-GGA LaNdCuRh, optimized geometry; ΔH_f (0 K) = -0.478 eV/atom
1.0
3.9929 0.0000 0.0000
0.0000 4.4072 0.0000
-1.9964 0.0000 5.4731
Nd Rh Cu La
1 1 1 1
Direct
0.1392 0.0000 0.2785
0.4198 0.0000 0.8396
0.5756 0.5000 0.1513
0.8654 0.5000 0.7307